# BaNbSeS2 | Alexandria via LeMat-Bulk | PBE | optimized geometry
# * N(E_F): 0.67 states/eV/atom
# * relative energy among the computed polymorphs: 0.0 meV/atom
# * theoretical density: 5.0 g/cm3
# * raw total energy: -6.0738 eV per atom
data_BaNbSeS2
_chemical_formula_sum 'Ba1 Nb1 Se1 S2'
_cell_length_a 4.890
_cell_length_b 4.890
_cell_length_c 5.205
_cell_angle_alpha 90.00
_cell_angle_beta 90.00
_cell_angle_gamma 90.00
_space_group_name_H-M_alt 'P 4/m m m'
_space_group_IT_number 123
_space_group_name_Hall '-P 4 2'
loop_
_atom_site_label
_atom_site_type_symbol
_atom_site_fract_x
_atom_site_fract_y
_atom_site_fract_z
Ba1 Ba 0.000 0.000 0.000
Nb1 Nb 0.500 0.500 0.500
Se1 Se 0.500 0.500 0.000
S1 S 0.000 0.500 0.500

***

# Ba3YTe | Alexandria via LeMat-Bulk | PBE | optimized geometry
# * N(E_F): 0.70 states/eV/atom
# * theoretical density: 4.2 g/cm3
# * raw total energy: -2.8116 eV per atom
data_Ba3YTe
_chemical_formula_sum 'Ba3 Y1 Te1'
_cell_length_a 6.275
_cell_length_b 6.275
_cell_length_c 6.275
_cell_angle_alpha 90.00
_cell_angle_beta 90.00
_cell_angle_gamma 90.00
_space_group_name_H-M_alt 'P m -3 m'
_space_group_IT_number 221
_space_group_name_Hall '-P 4 2 3'
loop_
_atom_site_label
_atom_site_type_symbol
_atom_site_fract_x
_atom_site_fract_y
_atom_site_fract_z
Ba1 Ba 0.000 0.000 0.500
Y1 Y 0.000 0.000 0.000
Te1 Te 0.500 0.500 0.500

***

# NbPtSeN2 | Alexandria via LeMat-Bulk | PBE | optimized geometry
# * N(E_F): 0.71 states/eV/atom
# * relative energy among the computed polymorphs: 542.7 meV/atom
# * theoretical density: 5.9 g/cm3
# * raw total energy: -6.0758 eV per atom
data_NbPtSeN2
_chemical_formula_sum 'Nb1 Pt1 Se1 N2'
_cell_length_a 3.737
_cell_length_b 3.737
_cell_length_c 7.984
_cell_angle_alpha 90.00
_cell_angle_beta 90.00
_cell_angle_gamma 90.00
_space_group_name_H-M_alt 'P 4/m m m'
_space_group_IT_number 123
_space_group_name_Hall '-P 4 2'
loop_
_atom_site_label
_atom_site_type_symbol
_atom_site_fract_x
_atom_site_fract_y
_atom_site_fract_z
Nb1 Nb 0.000 0.000 0.000
Pt1 Pt 0.500 0.500 0.500
Se1 Se 0.500 0.500 0.000
N1 N 0.000 0.500 0.500

***

# CsK2SeF | Alexandria via LeMat-Bulk | PBE | optimized geometry
# * N(E_F): 0.00 states/eV/atom
# * relative energy among the computed polymorphs: 14.1 meV/atom
# * theoretical density: 3.2 g/cm3
# * raw total energy: -3.3497 eV per atom
data_CsK2SeF
_chemical_formula_sum 'Cs1 K2 Se1 F1'
_cell_length_a 5.312
_cell_length_b 5.312
_cell_length_c 5.633
_cell_angle_alpha 90.00
_cell_angle_beta 90.00
_cell_angle_gamma 90.00
_space_group_name_H-M_alt 'P 4/m m m'
_space_group_IT_number 123
_space_group_name_Hall '-P 4 2'
loop_
_atom_site_label
_atom_site_type_symbol
_atom_site_fract_x
_atom_site_fract_y
_atom_site_fract_z
Cs1 Cs 0.000 0.000 0.000
K1 K 0.000 0.500 0.500
Se1 Se 0.500 0.500 0.000
F1 F 0.000 0.000 0.500

***

# Ti3InRe2 | Alexandria via LeMat-Bulk | PBE | optimized geometry
# * N(E_F): 0.68 states/eV/atom
# * theoretical density: 10.6 g/cm3
# * formation energy: -0.3746 eV per atom
# * raw total energy: -8.9278 eV per atom
data_Ti3InRe2
_chemical_formula_sum 'Ti3 In1 Re2'
_cell_length_a 3.201
_cell_length_b 3.201
_cell_length_c 9.650
_cell_angle_alpha 90.00
_cell_angle_beta 90.00
_cell_angle_gamma 90.00
_space_group_name_H-M_alt 'P 4/m m m'
_space_group_IT_number 123
_space_group_name_Hall '-P 4 2'
loop_
_atom_site_label
_atom_site_type_symbol
_atom_site_fract_x
_atom_site_fract_y
_atom_site_fract_z
Ti1 Ti 0.000 0.000 0.000
Ti2 Ti 0.000 0.000 0.305
In1 In 0.500 0.500 0.500
Re1 Re 0.500 0.500 0.163

***

# La2CrCuN | Alexandria via LeMat-Bulk | PBE | optimized geometry
# * N(E_F): 0.92 states/eV/atom
# * theoretical density: 6.5 g/cm3
# * raw total energy: -6.8609 eV per atom
data_La2CrCuN
_chemical_formula_sum 'La2 Cr1 Cu1 N1'
_cell_length_a 5.255
_cell_length_b 5.255
_cell_length_c 3.764
_cell_angle_alpha 90.00
_cell_angle_beta 90.00
_cell_angle_gamma 90.00
_space_group_name_H-M_alt 'P 4/m m m'
_space_group_IT_number 123
_space_group_name_Hall '-P 4 2'
loop_
_atom_site_label
_atom_site_type_symbol
_atom_site_fract_x
_atom_site_fract_y
_atom_site_fract_z
La1 La 0.000 0.500 0.000
Cr1 Cr 0.000 0.000 0.500
Cu1 Cu 0.500 0.500 0.500
N1 N 0.000 0.000 0.000

***

# LiCa2Br | Alexandria via LeMat-Bulk | PBE | optimized geometry
# * N(E_F): 0.25 states/eV/atom
# * relative energy among the computed polymorphs: 240.6 meV/atom
# * theoretical density: 2.2 g/cm3
# * raw total energy: -2.2937 eV per atom
data_LiCa2Br
_chemical_formula_sum 'Li2 Ca4 Br2'
_cell_length_a 4.972
_cell_length_b 4.972
_cell_length_c 10.038
_cell_angle_alpha 90.00
_cell_angle_beta 90.00
_cell_angle_gamma 90.00
_space_group_name_H-M_alt 'I 4/m m m'
_space_group_IT_number 139
_space_group_name_Hall '-I 4 2'
loop_
_atom_site_label
_atom_site_type_symbol
_atom_site_fract_x
_atom_site_fract_y
_atom_site_fract_z
Li1 Li 0.000 0.000 0.000
Ca1 Ca 0.000 0.500 0.250
Br1 Br 0.000 0.000 0.500

***

# Ba3IO8 | Alexandria via LeMat-Bulk | PBE | optimized geometry
# * N(E_F): 0.14 states/eV/atom
# * theoretical density: 5.4 g/cm3
# * raw total energy: -5.2722 eV per atom
data_Ba3IO8
_chemical_formula_sum 'Ba6 I2 O16'
_cell_length_a 6.444
_cell_length_b 6.444
_cell_length_c 9.915
_cell_angle_alpha 90.00
_cell_angle_beta 90.00
_cell_angle_gamma 90.00
_space_group_name_H-M_alt 'I -4 2 m'
_space_group_IT_number 121
_space_group_name_Hall 'I -4 2'
loop_
_atom_site_label
_atom_site_type_symbol
_atom_site_fract_x
_atom_site_fract_y
_atom_site_fract_z
Ba1 Ba 0.000 0.000 0.000
Ba2 Ba 0.000 0.500 0.250
I1 I 0.000 0.000 0.500
O1 O 0.083 0.083 0.740
O2 O 0.212 0.212 0.461

***

# NpGaRh | Alexandria via LeMat-Bulk | PBE | optimized geometry
# * N(E_F): 1.48 states/eV/atom
# * theoretical density: 12.7 g/cm3
# * formation energy: -0.3306 eV per atom
# * raw total energy: -8.1036 eV per atom
data_NpGaRh
_chemical_formula_sum 'Np2 Ga2 Rh2'
_cell_length_a 3.053
_cell_length_b 3.053
_cell_length_c 11.524
_cell_angle_alpha 90.00
_cell_angle_beta 90.00
_cell_angle_gamma 90.00
_space_group_name_H-M_alt 'I 4 m m'
_space_group_IT_number 107
_space_group_name_Hall 'I 4 -2'
loop_
_atom_site_label
_atom_site_type_symbol
_atom_site_fract_x
_atom_site_fract_y
_atom_site_fract_z
Np1 Np 0.000 0.000 0.000
Ga1 Ga 0.000 0.000 0.302
Rh1 Rh 0.000 0.000 0.677

***

# Li2TiSiH | Alexandria via LeMat-Bulk | PBE | optimized geometry
# * N(E_F): 0.41 states/eV/atom
# * theoretical density: 2.6 g/cm3
# * raw total energy: -4.4693 eV per atom
data_Li2TiSiH
_chemical_formula_sum 'Li2 Ti1 Si1 H1'
_cell_length_a 3.711
_cell_length_b 3.711
_cell_length_c 4.203
_cell_angle_alpha 90.00
_cell_angle_beta 90.00
_cell_angle_gamma 90.00
_space_group_name_H-M_alt 'P 4/m m m'
_space_group_IT_number 123
_space_group_name_Hall '-P 4 2'
loop_
_atom_site_label
_atom_site_type_symbol
_atom_site_fract_x
_atom_site_fract_y
_atom_site_fract_z
Li1 Li 0.000 0.500 0.000
Ti1 Ti 0.000 0.000 0.500
Si1 Si 0.500 0.500 0.500
H1 H 0.000 0.000 0.000

***

# LaMg2Ni | Alexandria via LeMat-Bulk | PBE | optimized geometry
# * N(E_F): 0.68 states/eV/atom
# * theoretical density: 3.9 g/cm3
# * formation energy: 0.0282 eV per atom
# * raw total energy: -3.4463 eV per atom
data_LaMg2Ni
_chemical_formula_sum 'La3 Mg6 Ni3'
_cell_length_a 3.9104
_cell_length_b 3.9104
_cell_length_c 23.5678
_cell_angle_alpha 90.00
_cell_angle_beta 90.00
_cell_angle_gamma 120.00
_space_group_name_H-M_alt 'R 3 m'
_space_group_IT_number 160
_space_group_name_Hall 'R 3 -2"'
loop_
_atom_site_label
_atom_site_type_symbol
_atom_site_fract_x
_atom_site_fract_y
_atom_site_fract_z
La1 La 0.0000 0.0000 0.0000
Mg1 Mg 0.0000 0.0000 0.5450
Mg2 Mg 0.0000 0.0000 0.7862
Ni1 Ni 0.0000 0.0000 0.2654

***

# Al2CuF6 | Alexandria via LeMat-Bulk | PBE | optimized geometry
# * N(E_F): 0.23 states/eV/atom
# * theoretical density: 3.0 g/cm3
# * raw total energy: -5.1741 eV per atom
data_Al2CuF6
_chemical_formula_sum 'Al6 Cu3 F18'
_cell_length_a 4.9976
_cell_length_b 4.9976
_cell_length_c 17.9060
_cell_angle_alpha 90.00
_cell_angle_beta 90.00
_cell_angle_gamma 120.00
_space_group_name_H-M_alt 'R 3'
_space_group_IT_number 146
_space_group_name_Hall 'R 3'
loop_
_atom_site_label
_atom_site_type_symbol
_atom_site_fract_x
_atom_site_fract_y
_atom_site_fract_z
Al1 Al 0.0000 0.0000 0.0000
Al2 Al 0.0000 0.0000 0.3351
Cu1 Cu 0.0000 0.0000 0.8212
F1 F 0.0017 0.6173 0.7236
F2 F 0.0390 0.3371 0.9474